[1]
An optimized crystal structure of La2MoOs. Source: Alexandria via LeMat-Bulk, functional PBE.

abc: 5.6682 5.6682 3.1693
angles: 76.70 76.70 112.59
Last column: nearest neighbours and their distance in Å.
Fractional positions:
La1 0.0000 0.0000 0.0000  2 Os 2.91, 2 Mo 2.91, 4 La 3.15-3.17
La2 0.5000 0.5000 0.0000  2 Mo 2.91, 2 Os 2.91, 4 La 3.15-3.17
Mo1 0.5000 0.0000 0.5000  4 La 2.91, 2 Os 3.15, 2 Mo 3.17
Os1 0.0000 0.5000 0.5000  4 La 2.91, 2 Mo 3.15, 2 Os 3.17

Summary:
total magnetic moment	0.00	μB per cell
DOS at the Fermi energy	0.90	states/eV per atom
calculated formation energy	2.3	eV per formula unit
total energy	-29.66	eV for the cell shown
E above lowest polymorph	11.35	kcal/mol of atoms


[2]
An optimized crystal structure of LaMoOs2. Source: Alexandria via LeMat-Bulk, functional PBE.

abc: 4.7005 4.7005 6.4265
angles: 73.44 73.44 38.23
Last column: nearest neighbours and their distance in Å.
Fractional positions:
La1 0.2500 0.2500 0.2500  2 La 3.08, 4 Os 3.11
Mo1 0.7500 0.7500 0.7500  6 Os 2.53-2.84
Os1 0.0164 0.0164 0.9065  3 Mo 2.53-2.84, 2 Os 2.62
Os2 0.4836 0.4836 0.5935  3 Mo 2.53-2.84, 2 Os 2.62

Summary:
total magnetic moment	0.00	μB per cell
DOS at the Fermi energy	1.02	states/eV per atom
calculated formation energy	1.8	eV per formula unit
total energy	-36.44	eV for the cell shown
E above lowest polymorph	6.13	kcal/mol of atoms


[3]
An optimized crystal structure of La2MoOs. Source: Alexandria via LeMat-Bulk, functional PBE.

abc: 4.9488 4.9488 4.9488
angles: 60.00 60.00 60.00
Last column: nearest neighbours and their distance in Å.
Fractional positions:
La1 0.0000 0.0000 0.0000  4 La 3.03, 4 Os 3.03
La2 0.2500 0.2500 0.2500  4 Mo 3.03, 4 La 3.03
Mo1 0.5000 0.5000 0.5000  4 Os 3.03, 4 La 3.03
Os1 0.7500 0.7500 0.7500  4 La 3.03, 4 Mo 3.03

Summary:
total magnetic moment	0.00	μB per cell
DOS at the Fermi energy	1.11	states/eV per atom
calculated formation energy	1.9	eV per formula unit
total energy	-30.00	eV for the cell shown
E above lowest polymorph	9.37	kcal/mol of atoms


[4]
An optimized crystal structure of LaMoOs2. Source: Alexandria via LeMat-Bulk, functional PBE.

abc: 4.9016 4.9016 3.0694
angles: 90.00 90.00 95.80
Last column: nearest neighbours and their distance in Å.
Fractional positions:
La1 0.5000 0.0000 0.5000  8 Os 2.89, 2 La 3.07
Mo1 0.0000 0.5000 0.5000  8 Os 2.89, 2 Mo 3.07
Os1 0.0000 0.0000 0.0000  4 Mo 2.89, 4 La 2.89, 2 Os 3.07
Os2 0.5000 0.5000 0.0000  4 La 2.89, 4 Mo 2.89, 2 Os 3.07

Summary:
total magnetic moment	0.00	μB per cell
DOS at the Fermi energy	0.81	states/eV per atom
calculated formation energy	2.4	eV per formula unit
total energy	-35.85	eV for the cell shown
E above lowest polymorph	9.48	kcal/mol of atoms


[5]
An optimized crystal structure of La2MoOs. Source: Alexandria via LeMat-Bulk, functional PBE.

abc: 5.0835 5.0835 5.0835
angles: 60.00 60.00 60.00
Last column: nearest neighbours and their distance in Å.
Fractional positions:
Mo1 0.0000 0.0000 0.0000  8 La 3.11
Os1 0.5000 0.5000 0.5000  8 La 3.11
La1 0.2500 0.2500 0.2500  4 Os 3.11, 4 Mo 3.11
La2 0.7500 0.7500 0.7500  4 Mo 3.11, 4 Os 3.11

Summary:
total magnetic moment	1.63	μB per cell
DOS at the Fermi energy	1.38	states/eV per atom
calculated formation energy	2.2	eV per formula unit
total energy	-29.70	eV for the cell shown
E above lowest polymorph	11.13	kcal/mol of atoms


[6]
An optimized crystal structure of La2MoOs. Source: Alexandria via LeMat-Bulk, functional PBE.

abc: 6.3573 6.3573 6.3573
angles: 146.51 133.12 58.83
Last column: nearest neighbours and their distance in Å.
Fractional positions:
La1 0.0238 0.0238 0.0000  4 Mo 3.26, 2 La 3.45, 4 Os 3.54-3.57
La2 0.7355 0.2355 0.5000  4 Os 3.20, 2 Mo 3.40, 2 La 3.45
Mo1 0.4407 0.4407 0.0000  2 Os 2.40
Os1 0.3000 0.8000 0.5000  2 Mo 2.40

Summary:
total magnetic moment	0.00	μB per cell
DOS at the Fermi energy	1.04	states/eV per atom
calculated formation energy	0.9	eV per formula unit
total energy	-30.98	eV for the cell shown
E above lowest polymorph	3.71	kcal/mol of atoms


[7]
An optimized crystal structure of La2MoOs. Source: Alexandria via LeMat-Bulk, functional PBE.

abc: 8.1574 8.1574 8.1574
angles: 29.91 29.91 29.91
Last column: nearest neighbours and their distance in Å.
Fractional positions:
La1 0.0347 0.0347 0.0347  3 Os 3.03
La2 0.2163 0.2163 0.2163  3 Mo 3.06
Mo1 0.4699 0.4699 0.4699  3 Os 2.50
Os1 0.7791 0.7791 0.7791  3 Mo 2.50

Summary:
total magnetic moment	0.48	μB per cell
DOS at the Fermi energy	1.01	states/eV per atom
calculated formation energy	0.3	eV per formula unit
total energy	-31.63	eV for the cell shown
E above lowest polymorph	0.00	kcal/mol of atoms


[8]
An optimized crystal structure of LaMoOs2. Source: Alexandria via LeMat-Bulk, functional PBE.

abc: 2.8427 2.8427 9.7196
angles: 90.00 90.00 115.82
Last column: nearest neighbours and their distance in Å.
Fractional positions:
La1 0.0000 0.0000 0.4922  6 La 2.84-3.02, 2 Os 2.99, 2 Mo 3.18
Mo1 0.5000 0.5000 0.7802  2 Os 2.62, 4 Mo 2.84
Os1 0.0000 0.0000 0.0003  2 Mo 2.62, 6 Os 2.67-2.84
Os2 0.5000 0.5000 0.2273  6 Os 2.67-2.84, 2 La 2.99

Summary:
total magnetic moment	0.00	μB per cell
DOS at the Fermi energy	1.29	states/eV per atom
calculated formation energy	2.9	eV per formula unit
total energy	-35.28	eV for the cell shown
E above lowest polymorph	12.79	kcal/mol of atoms


[9]
An optimized crystal structure of LaMo2POs. Source: Alexandria via LeMat-Bulk, functional PBE.

abc: 4.8095 4.8182 4.8095
angles: 90.00 90.00 90.00
Last column: nearest neighbours and their distance in Å.
Fractional positions:
P1 0.5000 0.5000 0.5000  4 Os 3.40, 8 Mo 3.40
Mo1 0.0000 0.0000 0.5000  2 La 2.40
Mo2 0.5000 0.0000 0.0000  2 La 2.40
Os1 0.0000 0.5000 0.0000  2 La 2.41
La1 0.0000 0.0000 0.0000  4 Mo 2.40, 2 Os 2.41

Summary:
total magnetic moment	0.00	μB per cell
DOS at the Fermi energy	2.13	states/eV per atom
calculated formation energy	13.6	eV per formula unit
total energy	-29.64	eV for the cell shown


[10]
An optimized crystal structure of LaSbMo2Os. Source: Alexandria via LeMat-Bulk, functional PBE.

abc: 4.9999 4.9079 4.9999
angles: 90.00 90.00 90.00
Last column: nearest neighbours and their distance in Å.
Fractional positions:
Sb1 0.0000 0.0000 0.0000  2 Os 2.45, 4 Mo 2.50
Mo1 0.0000 0.0000 0.5000  2 Sb 2.50
Mo2 0.5000 0.0000 0.0000  2 Sb 2.50
Os1 0.0000 0.5000 0.0000  2 Sb 2.45
La1 0.5000 0.5000 0.5000  8 Mo 3.50, 4 Os 3.54

Summary:
total magnetic moment	2.84	μB per cell
DOS at the Fermi energy	1.05	states/eV per atom
energy relative to the elements, uncorrected	127.3	kJ/mol of atoms
total energy	-35.34	eV for the cell shown


[11]
An optimized crystal structure of LaMo2OsSe. Source: Alexandria via LeMat-Bulk, functional PBE.

abc: 4.7848 5.2470 4.7848
angles: 90.00 90.00 90.00
Last column: nearest neighbours and their distance in Å.
Fractional positions:
Mo1 0.0000 0.0000 0.5000  2 Os 2.39
Mo2 0.5000 0.0000 0.0000  2 Os 2.39
Os1 0.0000 0.0000 0.0000  4 Mo 2.39, 2 Se 2.62
Se1 0.0000 0.5000 0.0000  2 Os 2.62
La1 0.5000 0.5000 0.5000  4 Se 3.38, 8 Mo 3.55

Summary:
total magnetic moment	2.36	μB per cell
DOS at the Fermi energy	1.25	states/eV per atom
energy relative to the elements, uncorrected	79.4	kJ/mol of atoms
total energy	-37.19	eV for the cell shown


[12]
An optimized crystal structure of La2MoOsSe. Source: Alexandria via LeMat-Bulk, functional PBE.

abc: 5.5613 4.5574 5.5613
angles: 90.00 90.00 90.00
Last column: nearest neighbours and their distance in Å.
Fractional positions:
Mo1 0.0000 0.5000 0.0000  2 Se 2.28
Os1 0.5000 0.5000 0.5000  8 La 3.60, 4 Mo 3.93
Se1 0.0000 0.0000 0.0000  2 Mo 2.28
La1 0.0000 0.0000 0.5000  2 Se 2.78
La2 0.5000 0.0000 0.0000  2 Se 2.78

Summary:
total magnetic moment	1.49	μB per cell
DOS at the Fermi energy	0.90	states/eV per atom
energy relative to the elements, uncorrected	60.5	kJ/mol of atoms
total energy	-32.26	eV for the cell shown